Run A
Ca3AlIn | PBE | optimized geometry

Properties
SG: Pm-3m

Unit cell a=5.814 b=5.814 c=5.814 alpha=90.00 beta=90.00 gamma=90.00
Atoms (fractional coordinates):
Al 0.000 0.000 0.000
Ca 0.000 0.500 0.000
Ca 0.500 0.000 0.000
In 0.500 0.500 0.500
Ca 0.000 0.000 0.500

---

Run B
Ca3AlIn | PBE | optimized geometry

Properties
SG: Cmcm

Unit cell a=5.361 b=5.362 c=10.817 alpha=90.00 beta=75.65 gamma=90.00
Atoms (fractional coordinates):
Ca 0.894 0.750 0.860
Al 0.667 0.750 0.314
Ca 0.254 0.750 0.141
In 0.167 0.250 0.315
Ca 0.395 0.250 0.859
Ca 0.754 0.250 0.140
Ca 0.574 0.250 0.500
Ca 0.074 0.750 0.500
Al 0.981 0.250 0.686
In 0.482 0.750 0.685

---

Energy ordering: run B at the bottom, the next structure 394 meV per atom above.

---

Run A
CaAlIn3 | PBE | optimized geometry

Properties
SG: Pm-3m

Unit cell a=5.357 b=5.357 c=5.357 alpha=90.00 beta=90.00 gamma=90.00
Atoms (fractional coordinates):
Al 0.000 0.000 0.000
In 0.000 0.000 0.500
Ca 0.500 0.500 0.500
In 0.500 0.000 0.000
In 0.000 0.500 0.000

---

Run B
CaAlIn3 | PBE | optimized geometry

Properties
SG: Pm-3m

Unit cell a=5.868 b=5.868 c=5.868 alpha=90.00 beta=90.00 gamma=90.00
Atoms (fractional coordinates):
In 0.500 0.000 0.000
In 0.000 0.000 0.500
Ca 0.000 0.000 0.000
In 0.000 0.500 0.000
Al 0.500 0.500 0.500

---

Energy ordering: run A at the bottom, the next structure 681 meV per atom above.

---

Run A
KCa2Al2 | PBE | optimized geometry

Properties
SG: P4/mbm

Unit cell a=9.175 b=9.175 c=3.675 alpha=90.00 beta=90.00 gamma=90.00
Atoms (fractional coordinates):
K 0.500 0.500 0.000
Ca 0.182 0.682 0.500
Al 0.393 0.893 0.000
Al 0.893 0.607 0.000
Ca 0.682 0.818 0.500
Al 0.607 0.107 0.000
Ca 0.318 0.182 0.500
K 0.000 0.000 0.000
Al 0.107 0.393 0.000
Ca 0.818 0.318 0.500

---

Run B
KCa2Al2 | PBE | optimized geometry

Properties
SG: I4/mmm

Unit cell a=5.756 b=5.756 c=6.655 alpha=64.38 beta=64.38 gamma=90.00
Atoms (fractional coordinates):
Al 0.619 0.619 0.762
Al 0.381 0.381 0.238
K 0.000 0.000 0.000
Ca 0.250 0.750 0.500
Ca 0.750 0.250 0.500

---

Energy ordering: run A at the bottom, the next structure 95 meV per atom above.

---

Run A
KCaAl | PBE | optimized geometry

Properties
SG: F-43m

Unit cell a=5.617 b=5.617 c=5.617 alpha=60.00 beta=60.00 gamma=60.00
Atoms (fractional coordinates):
K 0.500 0.500 0.500
Al 0.750 0.750 0.750
Ca 0.000 0.000 0.000

---

Run B
KCaAl | PBE | optimized geometry

Properties
SG: I4mm

Unit cell a=7.899 b=7.900 c=3.935 alpha=75.56 beta=75.59 gamma=28.85
Atoms (fractional coordinates):
Ca 0.379 0.379 0.621
K 0.644 0.644 0.356
Al 0.977 0.977 0.023

---

Energy ordering: run B at the bottom, the next structure 233 meV per atom above.

---

Run A
KCaAl | PBE | optimized geometry

Properties
SG: F-43m

Unit cell a=5.559 b=5.559 c=5.559 alpha=60.00 beta=60.00 gamma=60.00
Atoms (fractional coordinates):
Al 0.000 0.000 0.000
Ca 0.500 0.500 0.500
K 0.750 0.750 0.750

---

Run B
KCaAl | PBE | optimized geometry

Properties
SG: P3m1

Unit cell a=5.682 b=5.682 c=3.548 alpha=90.00 beta=90.00 gamma=120.00
Atoms (fractional coordinates):
Al 0.000 0.000 0.004
K 0.333 0.667 0.644
Ca 0.667 0.333 0.352

---

Energy ordering: run B at the bottom, the next structure 425 meV per atom above.

---

Run A
K3CaAl | PBE | optimized geometry

Properties
SG: Pm-3m

Unit cell a=7.281 b=7.281 c=7.281 alpha=90.00 beta=90.00 gamma=90.00
Atoms (fractional coordinates):
K 0.000 0.000 0.500
Al 0.500 0.500 0.500
Ca 0.000 0.000 0.000
K 0.000 0.500 0.000
K 0.500 0.000 0.000

---

Run B
K3CaAl | PBE | optimized geometry

Properties
SG: Pm-3m

Unit cell a=6.674 b=6.674 c=6.674 alpha=90.00 beta=90.00 gamma=90.00
Atoms (fractional coordinates):
Ca 0.500 0.500 0.500
Al 0.000 0.000 0.000
K 0.500 0.000 0.000
K 0.000 0.500 0.000
K 0.000 0.000 0.500

---

Energy ordering: run B at the bottom, the next structure 397 meV per atom above.